Entry from Alexandria via LeMat-Bulk: a relaxed CeZn2Cd6 crystal (PBE).

As for the space group: P4/mmm, No. 123. The calculation puts the energy at -15.1 eV for the cell shown.

Cell: 4.4035 4.4035 10.1519 Å, 90.00 90.00 90.00°
Closest atoms and distances in Å follow each position.
Positions (direct):
Ce 0.0000 0.0000 0.0000  8 Zn 3.34, 8 Cd 3.59
Zn 0.5000 0.5000 0.1185  1 Zn 2.41
Zn 0.5000 0.5000 0.8815  1 Zn 2.41
Cd 0.0000 0.5000 0.2791  2 Zn 2.74
Cd 0.5000 0.0000 0.2791  2 Zn 2.74
Cd 0.0000 0.5000 0.7209  2 Zn 2.74
Cd 0.5000 0.0000 0.7209  2 Zn 2.74
Cd 0.5000 0.5000 0.5000  12 Cd 3.11-3.14
Cd 0.0000 0.0000 0.5000  12 Cd 3.11-3.14

Entry from Alexandria via LeMat-Bulk: a relaxed Ce2ZnCd2 crystal (PBE).

As for the space group: P-1, No. 2. The calculation puts the energy at -31.7 eV for the cell shown.

Cell: 5.6490 9.8290 13.2018 Å, 19.51 79.89 74.87°
Closest atoms and distances in Å follow each position.
Positions (direct):
Ce 0.4356 0.8868 0.9426  2 Ce 2.72-2.82
Ce 0.7341 0.4292 0.4002  2 Ce 2.72-2.82
Ce 0.5644 0.1132 0.0574  2 Ce 2.72-2.82
Ce 0.2659 0.5708 0.5998  2 Ce 2.72-2.82
Zn 0.1397 0.7444 0.2558  2 Zn 3.00-3.02, 8 Ce 3.08-3.19, 2 Cd 3.22
Zn 0.8603 0.2556 0.7442  2 Zn 3.00-3.02, 8 Ce 3.08-3.19, 2 Cd 3.22
Cd 0.3512 0.9363 0.6598  6 Cd 3.04-3.29, 1 Zn 3.22, 5 Ce 3.34-3.40
Cd 0.9481 0.5540 0.8498  6 Cd 3.04-3.26, 1 Zn 3.22, 5 Ce 3.34-3.39
Cd 0.6488 0.0637 0.3402  6 Cd 3.04-3.29, 1 Zn 3.22, 5 Ce 3.34-3.40
Cd 0.0519 0.4459 0.1502  6 Cd 3.04-3.26, 1 Zn 3.22, 5 Ce 3.34-3.39

Entry from Alexandria via LeMat-Bulk: a relaxed Ce2ZnCd crystal (PBE).

The polymorph energy (0 for the lowest one) is 0.1493 eV/atom. As for the space group: R-3m, No. 166. The calculation puts the energy at -14.3 eV for the cell shown.

Cell: 3.0826 3.0826 11.2846 Å, 82.15 82.15 60.00°
Closest atoms and distances in Å follow each position.
Positions (direct):
Zn 0.0000 0.0000 0.0000  6 Zn 3.08, 6 Ce 3.17
Ce 0.2549 0.2549 0.2353  6 Ce 3.08, 3 Zn 3.17, 3 Cd 3.45
Ce 0.7451 0.7451 0.7647  6 Ce 3.08, 3 Zn 3.17, 3 Cd 3.45
Cd 0.5000 0.5000 0.5000  6 Cd 3.08, 6 Ce 3.45

Entry from Alexandria via LeMat-Bulk: a relaxed Ce6Zn2Cd crystal (PBE).

The polymorph energy (0 for the lowest one) is 0.0407 eV/atom. As for the space group: P-62m, No. 189. The calculation puts the energy at -39.6 eV for the cell shown.

Cell: 3.2436 8.9244 8.9244 Å, 120.00 90.00 90.00°
Closest atoms and distances in Å follow each position.
Positions (direct):
Ce 0.0000 0.4018 0.0000  4 Ce 3.04-3.24, 4 Zn 3.17
Ce 0.0000 0.0000 0.4018  4 Ce 3.04-3.24, 4 Zn 3.17
Ce 0.0000 0.5982 0.5982  4 Ce 3.04-3.24, 4 Zn 3.17
Ce 0.5000 0.3104 0.3104  4 Ce 3.04-3.24, 2 Zn 3.08, 2 Cd 3.21
Ce 0.5000 0.0000 0.6896  4 Ce 3.04-3.24, 2 Zn 3.08, 2 Cd 3.21
Ce 0.5000 0.6896 0.0000  4 Ce 3.04-3.24, 2 Zn 3.08, 2 Cd 3.21
Zn 0.5000 0.3333 0.6667  9 Ce 3.08-3.17, 2 Zn 3.24
Zn 0.5000 0.6667 0.3333  9 Ce 3.08-3.17, 2 Zn 3.24
Cd 0.0000 0.0000 0.0000  9 Ce 3.21-3.59, 2 Cd 3.24

Entry from Alexandria via LeMat-Bulk: a relaxed Ce3Zn4Cd4 crystal (PBE).

The polymorph energy (0 for the lowest one) is 0.0396 eV/atom. As for the space group: Amm2, No. 38. The calculation puts the energy at -28.1 eV for the cell shown.

Cell: 4.7577 6.0651 9.4647 Å, 90.00 90.00 113.09°
Closest atoms and distances in Å follow each position.
Positions (direct):
Ce 0.4067 0.8134 0.2907  4 Zn 3.11-3.23, 4 Cd 3.14-3.31, 1 Ce 3.34
Ce 0.4067 0.8134 0.7093  4 Zn 3.11-3.23, 4 Cd 3.14-3.31, 1 Ce 3.34
Ce 0.2368 0.4737 0.0000  6 Zn 3.09-3.10, 5 Cd 3.21-3.42, 2 Ce 3.34
Zn 0.7247 0.4494 0.7922  4 Cd 2.80-2.85, 1 Zn 2.89, 2 Ce 3.09
Zn 0.7247 0.4494 0.2078  4 Cd 2.80-2.85, 1 Zn 2.89, 2 Ce 3.09
Zn 0.9344 0.8688 0.5000  3 Cd 2.70-2.77
Zn 0.9143 0.8287 0.0000  2 Cd 2.78, 2 Zn 2.89, 2 Ce 3.10
Cd 0.6858 0.3715 0.5000  3 Zn 2.77-2.80
Cd 0.5430 0.0860 0.0000  4 Zn 2.78-2.82
Cd 0.1107 0.2214 0.6955  3 Zn 2.70-2.85
Cd 0.1107 0.2214 0.3045  3 Zn 2.70-2.85

Entry from Alexandria via LeMat-Bulk: a relaxed Ce2Zn9Cd crystal (PBE).

As for the space group: R-3m, No. 166. The calculation puts the energy at -25.2 eV for the cell shown.

Cell: 5.4358 5.4358 9.2955 Å, 73.00 73.00 60.00°
Closest atoms and distances in Å follow each position.
Positions (direct):
Ce 0.8528 0.8528 0.4416  12 Zn 3.15-3.22, 3 Ce 3.30
Ce 0.1472 0.1472 0.5584  12 Zn 3.15-3.22, 3 Ce 3.30
Zn 0.6648 0.6648 0.0055  6 Zn 2.63-2.69
Zn 0.3352 0.3352 0.9945  6 Zn 2.63-2.69
Zn 0.5000 0.5000 0.5000  6 Zn 2.73
Zn 0.4169 0.4169 0.2451  7 Zn 2.63-2.74
Zn 0.9211 0.4169 0.2451  7 Zn 2.63-2.74
Zn 0.4169 0.9211 0.2451  7 Zn 2.63-2.74
Zn 0.5831 0.5831 0.7549  7 Zn 2.63-2.74
Zn 0.5831 0.0789 0.7549  7 Zn 2.63-2.74
Zn 0.0789 0.5831 0.7549  7 Zn 2.63-2.74
Cd 0.0000 0.0000 0.0000  18 Zn 3.14-3.46

Entry from Alexandria via LeMat-Bulk: a relaxed CeZn6Cd6 crystal (PBE).

As for the space group: Immm, No. 71. The calculation puts the energy at -20.4 eV for the cell shown.

Cell: 5.5600 7.2650 7.2650 Å, 82.33 67.50 67.50°
Closest atoms and distances in Å follow each position.
Positions (direct):
Ce 0.0000 0.0000 0.0000  8 Cd 3.28-3.36, 12 Zn 3.51-3.63
Zn 0.0000 0.5000 0.0000  4 Zn 2.75-2.78, 6 Cd 2.80-2.92
Zn 0.5000 0.5000 0.0000  4 Zn 2.75-2.78, 6 Cd 2.80-2.92
Zn 0.0000 0.0000 0.5000  4 Zn 2.75-2.78, 6 Cd 2.80-2.92
Zn 0.5000 0.0000 0.5000  4 Zn 2.75-2.78, 6 Cd 2.80-2.92
Zn 0.5000 0.7764 0.2236  4 Zn 2.75, 6 Cd 2.86-3.02
Zn 0.5000 0.2236 0.7764  4 Zn 2.75, 6 Cd 2.86-3.02
Cd 0.3479 0.6521 0.6521  3 Cd 2.87-3.10, 6 Zn 2.92-3.01
Cd 0.6521 0.3479 0.3479  3 Cd 2.87-3.10, 6 Zn 2.92-3.01
Cd 0.0000 0.3459 0.6541  6 Zn 2.88-3.02, 3 Cd 2.95-3.18
Cd 0.0000 0.6541 0.3459  6 Zn 2.88-3.02, 3 Cd 2.95-3.18
Cd 0.2989 0.2011 0.2011  6 Zn 2.80-2.86, 2 Cd 3.10
Cd 0.7011 0.7989 0.7989  6 Zn 2.80-2.86, 2 Cd 3.10

Entry from Alexandria via LeMat-Bulk: a relaxed CeZn2Cd5 crystal (PBE).

As for the space group: Immm, No. 71. The calculation puts the energy at -14.0 eV for the cell shown.

Cell: 4.1558 6.9457 6.9457 Å, 71.99 72.59 72.59°
Closest atoms and distances in Å follow each position.
Positions (direct):
Ce 0.0000 0.0000 0.0000  4 Zn 3.19
Zn 0.7321 0.7679 0.7679  7 Cd 2.66-2.90
Zn 0.2679 0.2321 0.2321  7 Cd 2.66-2.90
Cd 0.0000 0.5000 0.5000  2 Zn 2.80, 8 Cd 3.02
Cd 0.6464 0.5465 0.1607  3 Zn 2.66-2.90
Cd 0.3536 0.4535 0.8393  3 Zn 2.66-2.90
Cd 0.3536 0.8393 0.4535  3 Zn 2.66-2.90
Cd 0.6464 0.1607 0.5465  3 Zn 2.66-2.90

Entry from Alexandria via LeMat-Bulk: a relaxed Ce4Zn2Cd5 crystal (PBE).

As for the space group: P2/m, No. 10. The calculation puts the energy at -32.7 eV for the cell shown.

Cell: 3.1739 7.9550 10.4061 Å, 91.40 90.00 90.00°
Closest atoms and distances in Å follow each position.
Positions (direct):
Ce 0.5000 0.7255 0.5437  4 Zn 3.10-3.14, 2 Ce 3.17, 6 Cd 3.32-3.47
Ce 0.5000 0.1191 0.9012  1 Ce 2.83
Ce 0.5000 0.2745 0.4563  4 Zn 3.10-3.14, 2 Ce 3.17, 6 Cd 3.32-3.47
Ce 0.5000 0.8809 0.0988  1 Ce 2.83
Zn 0.0000 0.0457 0.6396  2 Cd 2.91-3.03, 3 Zn 2.98-3.17, 6 Ce 3.10-3.19
Zn 0.0000 0.9543 0.3604  2 Cd 2.91-3.03, 3 Zn 2.98-3.17, 6 Ce 3.10-3.19
Cd 0.0000 0.5841 0.2831  4 Cd 3.01-3.17, 1 Zn 3.03, 2 Ce 3.32
Cd 0.0000 0.2257 0.1778  4 Cd 2.90-3.17, 1 Zn 2.91
Cd 0.0000 0.5000 0.0000  6 Cd 2.90-3.17
Cd 0.0000 0.7743 0.8222  4 Cd 2.90-3.17, 1 Zn 2.91
Cd 0.0000 0.4159 0.7169  4 Cd 3.01-3.17, 1 Zn 3.03, 2 Ce 3.32

Entry from Alexandria via LeMat-Bulk: a relaxed Ce2ZnCd crystal (PBE).

The polymorph energy (0 for the lowest one) is 0.0848 eV/atom. As for the space group: Fm-3m, No. 225. The calculation puts the energy at -14.5 eV for the cell shown.

Cell: 5.2926 5.2926 5.2926 Å, 60.00 60.00 60.00°
Closest atoms and distances in Å follow each position.
Positions (direct):
Zn 0.0000 0.0000 0.0000  8 Ce 3.24
Ce 0.2500 0.2500 0.2500  4 Zn 3.24, 4 Cd 3.24
Ce 0.7500 0.7500 0.7500  4 Cd 3.24, 4 Zn 3.24
Cd 0.5000 0.5000 0.5000  8 Ce 3.24

Number 1: ΔE_f -0.12 eV per atom. Number 2: ΔE_f -0.18 eV per atom. Number 3: ΔE_f -0.05 eV per atom. Number 4: ΔE_f -0.06 eV per atom. Number 5: ΔE_f -0.14 eV per atom. Number 6: ΔE_f -0.08 eV per atom. Number 7: ΔE_f -0.10 eV per atom. Number 8: ΔE_f -0.12 eV per atom. Number 9: ΔE_f -0.17 eV per atom. Number 10: ΔE_f -0.11 eV per atom.